! CdCuNi2 PBE optimized geometry; values from VASP
&SYSTEM
  ibrav = 0, nat = 4, ntyp = 3
/
ATOMIC_SPECIES
Cd 112.41 Cd.upf
Cu 63.55 Cu.upf
Ni 58.69 Ni.upf
CELL_PARAMETERS angstrom
-3.288 -0.278 -3.064
0.819 -3.779 -2.307
-0.291 0.620 4.450
ATOMIC_POSITIONS crystal
Cd 0.250 0.750 0.500
Cu 0.750 0.250 0.500
Ni 0.000 0.000 0.000
Ni 0.500 0.500 0.000
! DFT total energy in eV per atom: -4.04
! ΔH_f (0 K) in meV per atom: 99.2
! Crystal system: tetragonal

---

! Cd4CuNi PBE optimized geometry; values from VASP
&SYSTEM
  ibrav = 0, nat = 6, ntyp = 3
/
ATOMIC_SPECIES
Cd 112.41 Cd.upf
Cu 63.55 Cu.upf
Ni 58.69 Ni.upf
CELL_PARAMETERS angstrom
0.000 3.904 3.904
3.904 0.000 3.904
3.904 3.904 0.000
ATOMIC_POSITIONS crystal
Cd 0.875 0.375 0.375
Cd 0.375 0.375 0.875
Cd 0.375 0.875 0.375
Cd 0.375 0.375 0.375
Cu 0.750 0.750 0.750
Ni 0.000 0.000 0.000
! DFT total energy in eV per atom: -1.80
! E above lowest polymorph in meV per atom: 450
! ΔH_f (0 K) in meV per atom: 459.1
! Crystal system: cubic

---

! CdCuNi2 PBE optimized geometry; values from VASP
&SYSTEM
  ibrav = 0, nat = 4, ntyp = 3
/
ATOMIC_SPECIES
Cd 112.41 Cd.upf
Cu 63.55 Cu.upf
Ni 58.69 Ni.upf
CELL_PARAMETERS angstrom
-0.406 -1.697 -4.207
0.116 -3.790 -2.523
-4.454 -1.160 -0.061
ATOMIC_POSITIONS crystal
Cd 0.498 0.498 0.503
Cu 0.258 0.258 0.224
Ni 0.003 0.003 0.997
Ni 0.741 0.741 0.776
! DFT total energy in eV per atom: -4.03
! ΔH_f (0 K) in meV per atom: 113.6
! Crystal system: monoclinic

---

! CdCuNi2 PBE optimized geometry; values from VASP
&SYSTEM
  ibrav = 0, nat = 8, ntyp = 3
/
ATOMIC_SPECIES
Ni 58.69 Ni.upf
Cu 63.55 Cu.upf
Cd 112.41 Cd.upf
CELL_PARAMETERS angstrom
-2.313 2.782 -0.448
-0.844 -1.237 -3.324
-8.111 -4.099 1.586
ATOMIC_POSITIONS crystal
Ni 0.588 0.125 0.250
Ni 0.162 0.625 0.250
Ni 0.375 0.412 0.750
Ni 0.875 0.838 0.750
Cu 0.500 0.500 0.000
Cu 0.250 0.750 0.500
Cd 0.000 0.000 0.000
Cd 0.750 0.250 0.500
! DFT total energy in eV per atom: -3.72
! ΔH_f (0 K) in meV per atom: 422.3
! Crystal system: tetragonal

---

! CdCuNi2 PBE optimized geometry; values from VASP
&SYSTEM
  ibrav = 0, nat = 4, ntyp = 3
/
ATOMIC_SPECIES
Cd 112.41 Cd.upf
Cu 63.55 Cu.upf
Ni 58.69 Ni.upf
CELL_PARAMETERS angstrom
-2.157 -3.778 1.285
-0.762 -4.363 -0.978
3.286 -2.048 2.554
ATOMIC_POSITIONS crystal
Cd 0.750 0.750 0.750
Cu 0.250 0.250 0.250
Ni 0.994 0.994 0.026
Ni 0.506 0.506 0.474
! DFT total energy in eV per atom: -4.02
! ΔH_f (0 K) in meV per atom: 127.6
! Crystal system: monoclinic

---

! Cd6CuNi PBE optimized geometry; values from VASP
&SYSTEM
  ibrav = 0, nat = 8, ntyp = 3
/
ATOMIC_SPECIES
Cd 112.41 Cd.upf
Cu 63.55 Cu.upf
Ni 58.69 Ni.upf
CELL_PARAMETERS angstrom
3.269 0.000 0.000
0.000 6.885 -0.695
0.000 0.072 6.920
ATOMIC_POSITIONS crystal
Cd 0.000 0.604 0.816
Cd 0.000 0.184 0.396
Cd 0.000 0.632 0.368
Cd 0.500 0.908 0.633
Cd 0.500 0.367 0.092
Cd 0.500 0.897 0.103
Cu 0.500 0.298 0.702
Ni 0.000 0.110 0.890
! DFT total energy in eV per atom: -1.86
! ΔH_f (0 K) in meV per atom: 62.9
! Crystal system: orthorhombic

---

! Cd8Cu2Ni PBE optimized geometry; values from VASP
&SYSTEM
  ibrav = 0, nat = 11, ntyp = 3
/
ATOMIC_SPECIES
Cd 112.41 Cd.upf
Cu 63.55 Cu.upf
Ni 58.69 Ni.upf
CELL_PARAMETERS angstrom
4.249 0.000 -1.293
-1.112 6.431 -3.652
0.005 -0.006 7.645
ATOMIC_POSITIONS crystal
Cd 0.653 0.873 0.305
Cd 0.347 0.568 0.695
Cd 0.148 0.148 0.295
Cd 0.000 0.306 0.000
Cd 0.852 0.852 0.705
Cd 0.653 0.432 0.305
Cd 0.347 0.127 0.695
Cd 0.000 0.694 0.000
Cu 0.195 0.695 0.389
Cu 0.805 0.305 0.611
Ni 0.500 0.000 0.000
! DFT total energy in eV per atom: -1.88
! ΔH_f (0 K) in meV per atom: 51.5
! Crystal system: orthorhombic

---

! CdCuNi2 PBE optimized geometry; values from VASP
&SYSTEM
  ibrav = 0, nat = 4, ntyp = 3
/
ATOMIC_SPECIES
Cd 112.41 Cd.upf
Cu 63.55 Cu.upf
Ni 58.69 Ni.upf
CELL_PARAMETERS angstrom
4.563 -0.041 0.000
1.442 4.330 0.000
-3.002 -2.144 2.686
ATOMIC_POSITIONS crystal
Cd 0.500 0.500 0.000
Cu 0.750 0.250 0.500
Ni 0.000 0.000 0.000
Ni 0.250 0.750 0.500
! DFT total energy in eV per atom: -4.03
! ΔH_f (0 K) in meV per atom: 110.4
! Crystal system: tetragonal

---

| no. | volume (Å³/f.u.) |
| --- | --- |
| 1 | 53 |
| 2 | 119 |
| 3 | 54 |
| 4 | 59 |
| 5 | 54 |
| 6 | 156 |
| 7 | 209 |
| 8 | 53 |